ScHg2Br: relaxed, PBE.

Unit cell a=3.497 b=3.497 c=10.278 alpha=90.00 beta=90.00 gamma=116.28
Atoms (fractional coordinates):
Br 0.500 0.500 0.686
Hg 0.000 0.000 0.036
Hg 0.500 0.500 0.281
Sc 0.000 0.000 0.498

Calculated values
The calculation puts the total energy at -2.61 eV/atom. As for the space group: Cmm2.